# 1
{
  "formula": "Li4HoAu5",
  "functional": "PBE-GGA",
  "state": "optimized geometry",
  "lattice": [[-1.4852, 0.9465, 2.8433], [0.5744, -3.0246, 1.3069], [13.5170, 4.9113, 5.4255]],
  "species": ["Li", "Li", "Au", "Au", "Au", "Ho", "Li", "Au", "Au", "Li"],
  "frac_coords": [[0.0000, 0.0000, 0.7787], [0.0000, 0.0000, 0.4068], [0.5000, 0.5000, 0.5000], [0.5000, 0.5000, 0.3126], [0.5000, 0.5000, 0.6874], [0.0000, 0.0000, 0.0000], [0.0000, 0.0000, 0.5932], [0.5000, 0.5000, 0.1238], [0.5000, 0.5000, 0.8762], [0.0000, 0.0000, 0.2213]],
  "e_form_ev_per_atom": -0.598
}

---

# 2
{
  "formula": "HPt2Au",
  "functional": "PBE-GGA",
  "state": "optimized geometry",
  "lattice": [[6.1326, 0.0000, 0.0000], [0.0000, 6.1326, 0.0000], [3.0663, 3.0663, 2.9092]],
  "species": ["Au", "Pt", "Pt", "Au", "H", "Pt", "H", "Pt"],
  "frac_coords": [[0.7500, 0.2500, 0.5000], [0.3750, 0.4897, 0.7500], [0.8750, 0.7603, 0.7500], [0.0000, 0.0000, 0.0000], [0.2500, 0.7500, 0.5000], [0.2397, 0.6250, 0.2500], [0.5000, 0.5000, 0.0000], [0.5103, 0.1250, 0.2500]],
  "total_energy_ev_per_atom": -4.51
}

---

# 3
{
  "formula": "SrTe2Se",
  "functional": "PBE-GGA",
  "state": "optimized geometry",
  "lattice": [[5.6084, -0.0289, -0.0053], [-2.1892, 5.1636, -0.0053], [1.7175, 2.5793, 4.6077]],
  "species": ["Sr", "Se", "Te", "Te"],
  "frac_coords": [[0.0000, 0.5000, 0.5000], [0.5000, 0.0000, 0.5000], [0.0000, 0.0000, 0.0000], [0.5000, 0.5000, 0.0000]],
  "raw_formation_energy_mev_per_atom": -786
}

---

# 4
{
  "formula": "NdErPd",
  "functional": "PBE-GGA",
  "state": "optimized geometry",
  "lattice": [[4.9512, 0.0000, 0.0000], [2.4756, 4.2879, 0.0000], [2.4756, 1.4293, 4.0426]],
  "species": ["Pd", "Er", "Nd"],
  "frac_coords": [[0.2500, 0.2500, 0.2500], [0.5000, 0.5000, 0.5000], [0.0000, 0.0000, 0.0000]],
  "e_form_ev_per_atom": -0.433
}

---

# 5
{
  "formula": "Zn2WC",
  "functional": "PBE-GGA",
  "state": "optimized geometry",
  "lattice": [[7.0259, 0.0000, 0.0000], [0.0000, 7.0259, 0.0000], [3.5129, 3.5129, 2.1409]],
  "species": ["Zn", "Zn", "Zn", "Zn", "C", "W", "C", "W"],
  "frac_coords": [[0.2044, 0.6250, 0.2500], [0.5456, 0.1250, 0.2500], [0.8750, 0.7956, 0.7500], [0.3750, 0.4544, 0.7500], [0.2500, 0.7500, 0.5000], [0.0000, 0.0000, 0.0000], [0.5000, 0.5000, 0.0000], [0.7500, 0.2500, 0.5000]],
  "e_form_ev_per_atom": 0.805
}

---

# 6
{
  "formula": "Dy3Y4Th5",
  "functional": "PBE-GGA",
  "state": "optimized geometry",
  "lattice": [[5.9230, 0.0000, 0.0000], [2.9615, 5.7785, -1.3834], [2.9615, 2.6088, 11.1645]],
  "species": ["Y", "Y", "Y", "Dy", "Th", "Th", "Th", "Dy", "Dy", "Y", "Th", "Th"],
  "frac_coords": [[0.3559, 0.2757, 0.0124], [0.7982, 0.9898, 0.4138], [0.2018, 0.0102, 0.5862], [0.6341, 0.0088, 0.7230], [0.0380, 0.7841, 0.1400], [0.9620, 0.2159, 0.8600], [0.2826, 0.6366, 0.7982], [0.0000, 0.5000, 0.5000], [0.3659, 0.9912, 0.2770], [0.6441, 0.7243, 0.9876], [0.7174, 0.3634, 0.2018], [0.5000, 0.5000, 0.5000]],
  "e_form_ev_per_atom": 0.363
}

---

# 7
{
  "formula": "Ce14NdPu",
  "functional": "PBE-GGA",
  "state": "optimized geometry",
  "lattice": [[6.6453, 0.8919, 0.0000], [-0.8913, 6.6454, 0.0000], [0.0000, 0.0000, 9.4330]],
  "species": ["Nd", "Ce", "Ce", "Ce", "Ce", "Ce", "Ce", "Ce", "Ce", "Ce", "Ce", "Pu", "Ce", "Ce", "Ce", "Ce"],
  "frac_coords": [[0.3744, 0.6256, 0.0000], [0.6276, 0.3724, 0.2531], [0.1224, 0.8776, 0.2536], [0.3753, 0.6247, 0.5000], [0.1224, 0.8776, 0.7464], [0.6278, 0.8776, 0.2534], [0.1224, 0.3722, 0.2534], [0.8751, 0.6251, 0.5000], [0.3751, 0.1253, 0.0000], [0.6276, 0.3724, 0.7469], [0.8747, 0.1253, 0.5000], [0.8753, 0.1247, 0.0000], [0.6278, 0.8776, 0.7466], [0.3749, 0.1249, 0.5000], [0.1224, 0.3722, 0.7466], [0.8747, 0.6249, 0.0000]],
  "e_form_ev_per_atom": 0.040
}

---

# 8
{
  "formula": "Sr2P2O7",
  "functional": "PBE-GGA",
  "state": "optimized geometry",
  "lattice": [[5.4634, 0.0000, 0.0000], [0.0000, 9.0217, 0.0000], [0.0000, 0.0000, 13.3247]],
  "species": ["O", "O", "O", "O", "O", "O", "Sr", "P", "O", "O", "O", "O", "P", "O", "O", "P", "O", "Sr", "Sr", "O", "P", "O", "O", "Sr", "O", "P", "O", "O", "O", "O", "O", "O", "P", "Sr", "O", "O", "O", "O", "O", "Sr", "P", "Sr", "Sr", "P"],
  "frac_coords": [[0.0006, 0.8658, 0.3339], [0.7309, 0.1460, 0.9237], [0.7320, 0.9166, 0.7383], [0.7677, 0.0831, 0.2619], [0.7677, 0.5831, 0.2381], [0.5002, 0.3949, 0.9292], [0.4997, 0.8265, 0.2392], [0.5001, 0.4676, 0.8172], [0.2320, 0.5834, 0.2383], [0.7685, 0.8536, 0.0760], [0.7309, 0.6460, 0.5763], [0.2677, 0.9169, 0.7381], [0.5000, 0.7236, 0.5354], [0.5008, 0.7272, 0.4208], [0.0006, 0.3658, 0.1661], [0.0001, 0.0324, 0.3172], [0.2685, 0.1464, 0.9240], [0.9997, 0.1735, 0.7608], [0.9997, 0.6735, 0.7392], [0.5006, 0.1342, 0.6661], [0.5001, 0.9676, 0.6828], [0.5008, 0.2272, 0.0792], [0.0002, 0.1051, 0.4292], [0.9995, 0.6261, 0.4135], [0.2320, 0.0834, 0.2617], [0.0001, 0.5324, 0.1828], [0.0008, 0.2728, 0.5792], [0.2309, 0.8540, 0.0763], [0.7320, 0.4166, 0.7617], [0.7685, 0.3536, 0.4240], [0.5002, 0.8949, 0.5708], [0.2685, 0.6464, 0.5760], [0.0000, 0.7764, 0.0354], [0.4997, 0.3265, 0.2608], [0.0008, 0.7728, 0.9208], [0.2677, 0.4169, 0.7619], [0.0002, 0.6051, 0.0708], [0.5006, 0.6342, 0.8339], [0.2309, 0.3540, 0.4237], [0.9995, 0.1261, 0.0865], [0.0000, 0.2764, 0.4646], [0.4995, 0.3739, 0.5865], [0.4995, 0.8739, 0.9135], [0.5000, 0.2236, 0.9646]],
  "raw_formation_energy_mev_per_atom": -2793
}

---

# 9
{
  "formula": "Tb2PmNdSm",
  "functional": "PBE-GGA",
  "state": "optimized geometry",
  "lattice": [[7.1809, 0.0000, 0.0000], [0.0000, 8.4795, 0.0000], [0.0000, -4.2398, 5.8405]],
  "species": ["Tb", "Pm", "Pm", "Tb", "Nd", "Nd", "Sm", "Tb", "Tb", "Sm"],
  "frac_coords": [[0.0000, 0.6875, 0.0000], [0.2500, 0.9998, 0.9997], [0.7500, 0.0002, 0.0003], [0.0000, 0.3125, 0.0000], [0.2500, 0.7295, 0.4590], [0.7500, 0.2705, 0.5410], [0.7500, 0.7270, 0.4539], [0.5000, 0.6875, 0.0000], [0.5000, 0.3125, 0.0000], [0.2500, 0.2730, 0.5461]],
  "e_form_ev_per_atom": 0.368
}

---

# 10
{
  "formula": "Bi3Sb3Au8",
  "functional": "PBE-GGA",
  "state": "optimized geometry",
  "lattice": [[-2.3179, 4.1878, -0.8820], [-8.0563, -0.9376, 3.2913], [-0.8783, 4.0706, 8.2064]],
  "species": ["Au", "Au", "Au", "Bi", "Au", "Au", "Au", "Sb", "Bi", "Au", "Bi", "Sb", "Au", "Sb"],
  "frac_coords": [[0.3957, 0.9908, 0.2178], [0.8802, 0.8584, 0.3811], [0.4484, 0.4141, 0.6890], [0.6905, 0.1899, 0.4290], [0.6043, 0.0092, 0.7822], [0.8741, 0.3841, 0.8678], [0.5516, 0.5859, 0.3110], [0.0000, 0.5000, 0.5000], [0.0000, 0.0000, 0.0000], [0.1198, 0.1416, 0.6189], [0.3095, 0.8101, 0.5710], [0.6771, 0.6768, 0.9689], [0.1259, 0.6159, 0.1322], [0.3229, 0.3232, 0.0311]],
  "raw_formation_energy_mev_per_atom": -11
}